PrBe2ZnAu4: relaxed, PBE-GGA.

The total energy is -3.61 eV per atom. The value obtained for the formation energy is -0.28 eV/atom.

The space group is R-3m (No. 166, hexagonal axes) and the conventional cell measures 4.2425, 4.2425 and 27.6217 Å, with angles of 90.00, 90.00 and 120.00 degrees. The asymmetric unit holds Pr at (0.0000, 0.0000, 0.0000), Be at (0.0000, 0.0000, 0.2381), Zn at (0.0000, 0.0000, 0.5000), Au at (0.0000, 0.0000, 0.1275) and Au at (0.0000, 0.0000, 0.4026).



BePtAu: relaxed, PBE-GGA.

The total energy is -4.75 eV per atom. The value obtained for the formation energy is -0.40 eV/atom. The distance to the lowest polymorph of the same formula is 0.0 meV/atom.

The space group is I4mm (No. 107) and the conventional cell measures 2.861, 2.861 and 10.158 Å, with angles of 90.00, 90.00 and 90.00 degrees. The asymmetric unit holds Be at (0.000, 0.000, 0.000), Pt at (0.000, 0.000, 0.379) and Au at (0.000, 0.000, 0.662).



Be2PtAu: relaxed, PBE-GGA.

The total energy is -4.56 eV per atom. The value obtained for the formation energy is -0.37 eV/atom.

The space group is P4mm (No. 99) and the conventional cell measures 2.953, 2.953 and 5.777 Å, with angles of 90.00, 90.00 and 90.00 degrees. The asymmetric unit holds Be at (0.000, 0.000, 0.000), Be at (0.500, 0.500, 0.216), Pt at (0.000, 0.000, 0.401) and Au at (0.500, 0.500, 0.786).



Be2PtAu: relaxed, PBE-GGA.

The total energy is -4.06 eV per atom. The value obtained for the formation energy is 0.13 eV/atom.

The space group is I-42d (No. 122) and the conventional cell measures 5.320, 5.320 and 9.535 Å, with angles of 90.00, 90.00 and 90.00 degrees. The asymmetric unit holds Be at (0.231, 0.250, 0.125), Pt at (0.000, 0.000, 0.000) and Au at (0.000, 0.000, 0.500).



BePt2Au: relaxed, PBE-GGA.

The total energy is -5.07 eV per atom. The value obtained for the formation energy is -0.30 eV/atom.

The space group is C2/m (No. 12) and the conventional cell measures 10.180, 2.812 and 4.508 Å, with angles of 90.00, 116.09 and 90.00 degrees. The asymmetric unit holds Be at (0.000, 0.000, 0.000), Pt at (0.200, 0.500, 0.200) and Au at (0.000, 0.500, 0.500).



BePt2Au: relaxed, PBE-GGA.

The total energy is -4.82 eV per atom. The value obtained for the formation energy is -0.05 eV/atom.

The space group is Immm (No. 71) and the conventional cell measures 2.758, 4.347 and 10.282 Å, with angles of 90.00, 90.00 and 90.00 degrees. The asymmetric unit holds Be at (0.000, 0.000, 0.000), Pt at (0.000, 0.000, 0.208) and Au at (0.000, 0.000, 0.500).